1.
# PBE BaNaCu, relaxed
# **Space group**: Cmcm
# **Formation energy from the elements**: -0.0245 eV/atom
# **Total magnetic moment**: 0.00 μB per formula unit
data_BaNaCu
_cell_length_a 4.498
_cell_length_b 20.942
_cell_length_c 4.485
_cell_angle_alpha 90.00
_cell_angle_beta 90.00
_cell_angle_gamma 90.00
_symmetry_space_group_name_H-M 'P 1'
_symmetry_Int_Tables_number 1
loop_
_symmetry_equiv_pos_as_xyz
'x,y,z'
loop_
_atom_site_label
_atom_site_type_symbol
_atom_site_fract_x
_atom_site_fract_y
_atom_site_fract_z
Ba1 Ba 0.000 0.087 0.250
Ba2 Ba 0.000 0.913 0.750
Ba3 Ba 0.500 0.413 0.750
Ba4 Ba 0.500 0.587 0.250
Na1 Na 0.000 0.291 0.250
Na2 Na 0.000 0.709 0.750
Na3 Na 0.500 0.209 0.750
Na4 Na 0.500 0.791 0.250
Cu1 Cu 0.000 0.473 0.250
Cu2 Cu 0.000 0.527 0.750
Cu3 Cu 0.500 0.027 0.750
Cu4 Cu 0.500 0.973 0.250



2.
# PBE KCa2Re, relaxed
# **Space group**: C2/m
# **Formation energy from the elements**: 1.0996 eV/atom
# **Total magnetic moment**: 0.00 μB per formula unit
data_KCa2Re
_cell_length_a 7.992
_cell_length_b 8.175
_cell_length_c 3.309
_cell_angle_alpha 90.00
_cell_angle_beta 90.11
_cell_angle_gamma 90.00
_symmetry_space_group_name_H-M 'P 1'
_symmetry_Int_Tables_number 1
loop_
_symmetry_equiv_pos_as_xyz
'x,y,z'
loop_
_atom_site_label
_atom_site_type_symbol
_atom_site_fract_x
_atom_site_fract_y
_atom_site_fract_z
K1 K 0.000 0.000 0.000
K2 K 0.500 0.500 0.000
Ca1 Ca 0.250 0.250 0.500
Ca2 Ca 0.250 0.750 0.500
Ca3 Ca 0.750 0.250 0.500
Ca4 Ca 0.750 0.750 0.500
Re1 Re 0.000 0.500 0.000
Re2 Re 0.500 0.000 0.000



3.
# PBE RbTl3Au3, relaxed
# **Space group**: R-3
# **Formation energy from the elements**: -0.0454 eV/atom
# **Total magnetic moment**: 0.00 μB per formula unit
data_RbTl3Au3
_cell_length_a 7.975
_cell_length_b 7.975
_cell_length_c 7.975
_cell_angle_alpha 73.96
_cell_angle_beta 73.96
_cell_angle_gamma 73.96
_symmetry_space_group_name_H-M 'P 1'
_symmetry_Int_Tables_number 1
loop_
_symmetry_equiv_pos_as_xyz
'x,y,z'
loop_
_atom_site_label
_atom_site_type_symbol
_atom_site_fract_x
_atom_site_fract_y
_atom_site_fract_z
Rb1 Rb 0.170 0.170 0.170
Rb2 Rb 0.830 0.830 0.830
Tl1 Tl 0.120 0.703 0.404
Tl2 Tl 0.297 0.596 0.880
Tl3 Tl 0.404 0.120 0.703
Tl4 Tl 0.596 0.880 0.297
Tl5 Tl 0.703 0.404 0.120
Tl6 Tl 0.880 0.297 0.596
Au1 Au 0.096 0.422 0.747
Au2 Au 0.253 0.904 0.578
Au3 Au 0.422 0.747 0.096
Au4 Au 0.578 0.253 0.904
Au5 Au 0.747 0.096 0.422
Au6 Au 0.904 0.578 0.253



4.
# PBE PmNdHo2Se4, relaxed
# **Space group**: P2/m
# **Total magnetic moment**: 0.00 μB per formula unit
# **ΔE_f (raw)**: -1.7839 eV/atom
data_PmNdHo2Se4
_cell_length_a 7.089
_cell_length_b 4.066
_cell_length_c 7.323
_cell_angle_alpha 90.00
_cell_angle_beta 108.63
_cell_angle_gamma 90.00
_symmetry_space_group_name_H-M 'P 1'
_symmetry_Int_Tables_number 1
loop_
_symmetry_equiv_pos_as_xyz
'x,y,z'
loop_
_atom_site_label
_atom_site_type_symbol
_atom_site_fract_x
_atom_site_fract_y
_atom_site_fract_z
Pm1 Pm 0.000 0.000 0.000
Nd1 Nd 0.500 0.500 0.000
Ho1 Ho 0.000 0.500 0.500
Ho2 Ho 0.500 0.000 0.500
Se1 Se 0.243 0.000 0.734
Se2 Se 0.254 0.500 0.265
Se3 Se 0.746 0.500 0.735
Se4 Se 0.757 0.000 0.266



5.
# PBE TbPmNi, relaxed
# **Space group**: C2/m
# **Formation energy from the elements**: -0.1889 eV/atom
# **Total magnetic moment**: 0.00 μB per formula unit
data_TbPmNi
_cell_length_a 13.042
_cell_length_b 3.451
_cell_length_c 6.973
_cell_angle_alpha 90.00
_cell_angle_beta 105.28
_cell_angle_gamma 90.00
_symmetry_space_group_name_H-M 'P 1'
_symmetry_Int_Tables_number 1
loop_
_symmetry_equiv_pos_as_xyz
'x,y,z'
loop_
_atom_site_label
_atom_site_type_symbol
_atom_site_fract_x
_atom_site_fract_y
_atom_site_fract_z
Tb1 Tb 0.131 0.000 0.066
Tb2 Tb 0.369 0.500 0.934
Tb3 Tb 0.631 0.500 0.066
Tb4 Tb 0.869 0.000 0.934
Pm1 Pm 0.128 0.000 0.564
Pm2 Pm 0.372 0.500 0.436
Pm3 Pm 0.628 0.500 0.564
Pm4 Pm 0.872 0.000 0.436
Ni1 Ni 0.001 0.500 0.775
Ni2 Ni 0.499 0.000 0.225
Ni3 Ni 0.501 0.000 0.775
Ni4 Ni 0.999 0.500 0.225



6.
# PBE Ca3ScPa2N6, relaxed
# **Space group**: C2/m
# **Total magnetic moment**: 0.00 μB per formula unit
# **ΔE_f (raw)**: -1.5009 eV/atom
data_Ca3ScPa2N6
_cell_length_a 7.704
_cell_length_b 7.704
_cell_length_c 6.958
_cell_angle_alpha 103.30
_cell_angle_beta 103.30
_cell_angle_gamma 26.39
_symmetry_space_group_name_H-M 'P 1'
_symmetry_Int_Tables_number 1
loop_
_symmetry_equiv_pos_as_xyz
'x,y,z'
loop_
_atom_site_label
_atom_site_type_symbol
_atom_site_fract_x
_atom_site_fract_y
_atom_site_fract_z
Ca1 Ca 0.000 0.000 0.000
Ca2 Ca 0.338 0.338 0.668
Ca3 Ca 0.662 0.662 0.332
Sc1 Sc 0.000 0.000 0.500
Pa1 Pa 0.338 0.338 0.178
Pa2 Pa 0.662 0.662 0.822
N1 N 0.157 0.157 0.598
N2 N 0.175 0.175 0.060
N3 N 0.491 0.491 0.265
N4 N 0.509 0.509 0.735
N5 N 0.825 0.825 0.940
N6 N 0.843 0.843 0.402



7.
# PBE HoPuMgSi, relaxed
# **Space group**: F-43m
# **Total magnetic moment**: 6.09 μB per formula unit
# **ΔE_f (raw)**: -0.1486 eV/atom
data_HoPuMgSi
_cell_length_a 7.169
_cell_length_b 7.169
_cell_length_c 7.169
_cell_angle_alpha 90.00
_cell_angle_beta 90.00
_cell_angle_gamma 90.00
_symmetry_space_group_name_H-M 'P 1'
_symmetry_Int_Tables_number 1
loop_
_symmetry_equiv_pos_as_xyz
'x,y,z'
loop_
_atom_site_label
_atom_site_type_symbol
_atom_site_fract_x
_atom_site_fract_y
_atom_site_fract_z
Ho1 Ho 0.000 0.000 0.000
Ho2 Ho 0.000 0.500 0.500
Ho3 Ho 0.500 0.000 0.500
Ho4 Ho 0.500 0.500 0.000
Pu1 Pu 0.000 0.000 0.500
Pu2 Pu 0.000 0.500 0.000
Pu3 Pu 0.500 0.000 0.000
Pu4 Pu 0.500 0.500 0.500
Mg1 Mg 0.250 0.250 0.250
Mg2 Mg 0.250 0.750 0.750
Mg3 Mg 0.750 0.250 0.750
Mg4 Mg 0.750 0.750 0.250
Si1 Si 0.250 0.250 0.750
Si2 Si 0.250 0.750 0.250
Si3 Si 0.750 0.250 0.250
Si4 Si 0.750 0.750 0.750



8.
# PBE Ac2CeNi9, relaxed
# **Space group**: R-3m
# **Formation energy from the elements**: -0.2439 eV/atom
# **Total magnetic moment**: 0.02 μB per formula unit
data_Ac2CeNi9
_cell_length_a 9.065
_cell_length_b 9.065
_cell_length_c 9.065
_cell_angle_alpha 32.38
_cell_angle_beta 32.38
_cell_angle_gamma 32.38
_symmetry_space_group_name_H-M 'P 1'
_symmetry_Int_Tables_number 1
loop_
_symmetry_equiv_pos_as_xyz
'x,y,z'
loop_
_atom_site_label
_atom_site_type_symbol
_atom_site_fract_x
_atom_site_fract_y
_atom_site_fract_z
Ac1 Ac 0.135 0.135 0.135
Ac2 Ac 0.865 0.865 0.865
Ce1 Ce 0.000 0.000 0.000
Ni1 Ni 0.079 0.577 0.577
Ni2 Ni 0.333 0.333 0.333
Ni3 Ni 0.423 0.423 0.921
Ni4 Ni 0.423 0.921 0.423
Ni5 Ni 0.500 0.500 0.500
Ni6 Ni 0.577 0.079 0.577
Ni7 Ni 0.577 0.577 0.079
Ni8 Ni 0.667 0.667 0.667
Ni9 Ni 0.921 0.423 0.423



What did the second record say?
# PBE KCa2Re, relaxed
# **Space group**: C2/m
# **Formation energy from the elements**: 1.0996 eV/atom
# **Total magnetic moment**: 0.00 μB per formula unit
data_KCa2Re
_cell_length_a 7.992
_cell_length_b 8.175
_cell_length_c 3.309
_cell_angle_alpha 90.00
_cell_angle_beta 90.11
_cell_angle_gamma 90.00
_symmetry_space_group_name_H-M 'P 1'
_symmetry_Int_Tables_number 1
loop_
_symmetry_equiv_pos_as_xyz
'x,y,z'
loop_
_atom_site_label
_atom_site_type_symbol
_atom_site_fract_x
_atom_site_fract_y
_atom_site_fract_z
K1 K 0.000 0.000 0.000
K2 K 0.500 0.500 0.000
Ca1 Ca 0.250 0.250 0.500
Ca2 Ca 0.250 0.750 0.500
Ca3 Ca 0.750 0.250 0.500
Ca4 Ca 0.750 0.750 0.500
Re1 Re 0.000 0.500 0.000
Re2 Re 0.500 0.000 0.000